# 1
The following is a DFT calculation (PBE) of a relaxed structure of Y2CuCl.

POSCAR file:
```
Y2CuCl
1.0
-2.0885 2.9238 3.8131
2.0885 -2.9238 3.8131
2.0885 2.9238 -3.8131
Y Cu Cl
2 1 1
Direct
0.2410 0.2410 0.0000
0.7590 0.7590 0.0000
0.5000 0.0000 0.5000
0.0000 0.5000 0.5000
```

Output
**Formation energy (no corrections)**: -0.4990 eV per atom
**Theoretical density**: 4.9 g/cm3
**Size of the total moment**: 0.304 μB/f.u.
**Symmetry**: Immm (71)


# 2
The following is a DFT calculation (PBE) of a relaxed structure of CeGa2Se6.

POSCAR file:
```
CeGa2Se6
1.0
7.2070 -5.5511 0.0000
7.2070 5.5511 0.0000
-0.9799 0.0000 7.0979
Ce Ga Se
2 4 12
Direct
0.1201 0.8799 0.7500
0.8799 0.1201 0.2500
0.1855 0.3407 0.6305
0.3407 0.1855 0.1305
0.6593 0.8145 0.8695
0.8145 0.6593 0.3695
0.0051 0.1864 0.6263
0.0755 0.5787 0.8095
0.1864 0.0051 0.1263
0.2294 0.4157 0.3238
0.4157 0.2294 0.8238
0.4213 0.9245 0.6905
0.5787 0.0755 0.3095
0.5843 0.7706 0.1762
0.7706 0.5843 0.6762
0.8136 0.9949 0.8737
0.9245 0.4213 0.1905
0.9949 0.8136 0.3737
```

Output
**Formation energy (no corrections)**: -0.6677 eV per atom
**Theoretical density**: 4.4 g/cm3
**Size of the total moment**: 0.421 μB/f.u.
**Symmetry**: C2/c (15)


# 3
The following is a DFT calculation (PBE) of a relaxed structure of PuAl6Au12.

POSCAR file:
```
PuAl6Au12
1.0
6.1167 3.5315 2.7196
-6.1167 3.5315 2.7196
0.0000 -7.0630 2.7196
Pu Al Au
1 6 12
Direct
0.0000 0.0000 0.0000
0.0072 0.4792 0.7108
0.2892 0.9928 0.5208
0.4792 0.7108 0.0072
0.5208 0.2892 0.9928
0.7108 0.0072 0.4792
0.9928 0.5208 0.2892
0.1311 0.1902 0.7329
0.1902 0.7329 0.1311
0.2026 0.3752 0.4732
0.2671 0.8689 0.8098
0.3752 0.4732 0.2026
0.4732 0.2026 0.3752
0.5268 0.7974 0.6248
0.6248 0.5268 0.7974
0.7329 0.1311 0.1902
0.7974 0.6248 0.5268
0.8098 0.2671 0.8689
0.8689 0.8098 0.2671
```

Output
**Theoretical density**: 13.0 g/cm3
**Size of the total moment**: 5.411 μB/f.u.
**ΔH_f (0 K)**: -0.305 eV per atom
**Symmetry**: R-3 (148)